A geometry-optimized HoSeS2 structure, computed with PBE.

a b c (Å): 4.283 4.296 9.364
angles (deg): 90.00 90.00 90.00
Positions (direct):
Ho1 0.250 0.250 0.197
Ho2 0.750 0.750 0.803
Se1 0.250 0.250 0.887
Se2 0.750 0.750 0.113
S1 0.250 0.750 0.395
S2 0.250 0.750 0.605
S3 0.750 0.250 0.395
S4 0.750 0.250 0.605

Its space group is Pmmn. As for the energy relative to the elements, uncorrected: -0.957 eV/atom. The energy relative to the lowest polymorph listed for this composition comes out at 0.059 eV/atom. As for the theoretical density: 5.94 g/cm3. Its electronic total energy is -40.29 eV per cell.

---

A geometry-optimized TmPaAl structure, computed with PBE.

a b c (Å): 5.151 5.151 2.992
angles (deg): 90.00 90.00 120.00
Positions (direct):
Tm1 0.000 0.000 0.000
Pa1 0.333 0.667 0.006
Al1 0.667 0.333 0.505

Its space group is P3m1. The energy relative to the lowest polymorph listed for this composition comes out at 0.263 eV/atom. As for the theoretical density: 10.31 g/cm3. The calculation puts the formation energy at 0.189 eV per atom. Its electronic total energy is -17.14 eV per cell.

---

A geometry-optimized Zr2CoRh structure, computed with PBE.

a b c (Å): 3.369 4.235 5.198
angles (deg): 90.00 108.83 90.00
Positions (direct):
Zr1 0.000 0.000 0.000
Zr2 0.283 0.500 0.567
Co1 0.549 0.500 0.098
Rh1 0.724 0.000 0.450

Its space group is Pm. The energy relative to the lowest polymorph listed for this composition comes out at 0.000 eV/atom. As for the theoretical density: 8.14 g/cm3. The calculation puts the formation energy at -0.530 eV per atom. Its electronic total energy is -33.67 eV per cell.

---

A geometry-optimized Sm4Zn2O structure, computed with PBE.

a b c (Å): 8.033 8.033 8.033
angles (deg): 144.87 144.87 50.53
Positions (direct):
Sm1 0.000 0.500 0.500
Sm2 0.182 0.182 0.000
Sm3 0.500 0.000 0.500
Sm4 0.818 0.818 0.000
Zn1 0.378 0.378 0.000
Zn2 0.622 0.622 0.000
O1 0.000 0.000 0.000

Its space group is I4/mmm. As for the energy relative to the elements, uncorrected: -0.933 eV/atom. As for the theoretical density: 7.28 g/cm3. Its electronic total energy is -32.92 eV per cell.

---

A geometry-optimized BaPb2N structure, computed with PBE.

a b c (Å): 6.908 6.908 6.908
angles (deg): 100.39 100.39 129.74
Positions (direct):
Ba1 0.000 0.000 0.000
Ba2 0.750 0.250 0.500
Pb1 0.232 0.625 0.107
Pb2 0.375 0.482 0.607
Pb3 0.518 0.125 0.893
Pb4 0.875 0.768 0.393
N1 0.250 0.750 0.500
N2 0.500 0.500 0.000

Its space group is I-42d. As for the energy relative to the elements, uncorrected: 0.235 eV/atom. As for the theoretical density: 8.19 g/cm3. Its electronic total energy is -33.45 eV per cell.

---

A geometry-optimized PrErGe2 structure, computed with PBE.

a b c (Å): 6.952 6.952 6.626
angles (deg): 90.00 90.00 142.95
Positions (direct):
Pr1 0.049 0.951 0.750
Pr2 0.951 0.049 0.250
Er1 0.224 0.776 0.250
Er2 0.776 0.224 0.750
Ge1 0.391 0.609 0.552
Ge2 0.391 0.609 0.948
Ge3 0.609 0.391 0.052
Ge4 0.609 0.391 0.448

Its space group is Cmcm. As for the theoretical density: 7.81 g/cm3. The calculation puts the formation energy at -0.813 eV per atom. Its electronic total energy is -43.66 eV per cell.